Density functional theory data (GGA-PBE) for a relaxed structure of RbFe2AsOs.

Properties
As for the space group: P4/mmm, No. 123. The value obtained for the electronic total energy is -5.580 eV per atom. The value obtained for the formation energy is 1.174 eV per atom.

Geometry as POSCAR:
```
RbFe2AsOs
1.0
4.753 0.000 0.000
0.000 4.753 0.000
0.000 0.000 4.709
Rb Fe As Os
1 2 1 1
direct
0.000 0.000 0.000
0.000 0.500 0.500
0.500 0.000 0.500
0.500 0.500 0.500
0.500 0.500 0.000
```